Entry 1:
Material: RbCdPt2S
Method: DFT, PBEsol
State: optimized geometry

Properties
The calculation puts the density of states at the Fermi level at 4.5 states/eV/cell. The spin magnetization is 0.54 μB/f.u. The formation energy without anion corrections is 1.8839 eV per atom. The calculation puts the density at 7.7 g/cm3.

Cell: 4.9261 4.9261 5.4926 Å, 90.00 90.00 90.00°
Closest atoms and distances in Å follow each position.
Space group P4/mmm (No. 123)
Symmetry-distinct sites (fractional):
Rb: 0.0000 0.0000 0.0000 [1 per cell]  4 Pt 2.46, 2 S 2.75
Cd: 0.5000 0.5000 0.5000 [1 per cell]  4 S 3.48, 8 Pt 3.69
Pt: 0.0000 0.5000 0.0000 [2 per cell]  2 Rb 2.46
S: 0.0000 0.0000 0.5000 [1 per cell]  2 Rb 2.75

---

Entry 2:
Material: Ce4CoSi6Au
Method: DFT, PBEsol
State: optimized geometry

Properties
The calculation puts the density of states at the Fermi level at 16.5 states/eV/cell. The spin magnetization is 1.87 μB/f.u. The formation energy without anion corrections is -0.7611 eV per atom. The calculation puts the density at 7.0 g/cm3.

Cell: 8.0846 8.0846 4.0996 Å, 90.00 90.00 120.00°
Closest atoms and distances in Å follow each position.
Space group P-6m2 (No. 187)
Symmetry-distinct sites (fractional):
Ce: 0.0000 0.0000 0.0000 [1 per cell]  12 Si 3.06-3.16
Ce: 0.0171 0.5086 0.0000 [3 per cell]  2 Co 3.02, 8 Si 3.03-3.18, 2 Au 3.20
Co: 0.3333 0.6667 0.5000 [1 per cell]  3 Si 2.26
Si: 0.1719 0.3438 0.5000 [3 per cell]  1 Co 2.26, 2 Si 2.34
Si: 0.3236 0.1618 0.5000 [3 per cell]  2 Si 2.34, 1 Au 2.40
Au: 0.6667 0.3333 0.5000 [1 per cell]  3 Si 2.40

---

Entry 3:
Material: Y9U5O28
Method: DFT, PBEsol
State: optimized geometry

Properties
The calculation puts the density of states at the Fermi level at 8.8 states/eV/cell. The spin magnetization is 1.31 μB/f.u. The formation energy without anion corrections is -3.5191 eV per atom. The calculation puts the density at 7.9 g/cm3.

Cell: 6.4446 7.4640 11.7213 Å, 72.81 80.21 73.75°
Closest atoms and distances in Å follow each position.
Space group P-1 (No. 2)
Symmetry-distinct sites (fractional):
Y: 0.0000 0.0000 0.0000 [1 per cell]  8 O 2.29-2.36
Y: 0.1405 0.3571 0.7153 [2 per cell]  8 O 2.30-2.38
Y: 0.1432 0.8572 0.7133 [2 per cell]  8 O 2.30-2.35
Y: 0.2826 0.2150 0.4305 [2 per cell]  8 O 2.30-2.35
Y: 0.4316 0.5690 0.1436 [2 per cell]  8 O 2.30-2.35
U: 0.0000 0.5000 0.0000 [1 per cell]  8 O 2.13-2.33
U: 0.2814 0.7149 0.4302 [2 per cell]  8 O 2.12-2.29
U: 0.4306 0.0711 0.1456 [2 per cell]  8 O 2.14-2.32
O: 0.0591 0.1783 0.6071 [2 per cell]  1 U 2.19, 3 Y 2.30-2.31
O: 0.0761 0.6707 0.0970 [2 per cell]  1 U 2.13, 3 Y 2.31-2.38
O: 0.0788 0.6740 0.6022 [2 per cell]  1 U 2.20, 3 Y 2.30
O: 0.0897 0.1777 0.1089 [2 per cell]  2 U 2.19-2.33, 2 Y 2.32-2.34
O: 0.2031 0.5381 0.8336 [2 per cell]  1 U 2.15, 3 Y 2.30-2.35
O: 0.2213 0.0271 0.3182 [2 per cell]  2 U 2.22-2.27, 2 Y 2.32-2.33, 1 O 2.47
O: 0.2235 0.5439 0.3282 [2 per cell]  1 U 2.13, 3 Y 2.33-2.35
O: 0.2305 0.0302 0.8275 [2 per cell]  1 U 2.15, 3 Y 2.29-2.36
O: 0.3540 0.8843 0.5279 [2 per cell]  1 U 2.12, 3 Y 2.34-2.35
O: 0.3602 0.3772 0.0388 [2 per cell]  2 U 2.22-2.31, 2 Y 2.31-2.32
O: 0.3684 0.3980 0.5380 [2 per cell]  2 U 2.23-2.29, 2 Y 2.33, 1 O 2.47
O: 0.3678 0.8981 0.0403 [2 per cell]  2 U 2.18-2.32, 2 Y 2.35-2.36
O: 0.4928 0.2415 0.2478 [2 per cell]  1 U 2.14, 3 Y 2.32-2.34
O: 0.4940 0.7597 0.2537 [2 per cell]  2 U 2.25-2.27, 2 Y 2.32-2.33, 1 O 2.47

---

Entry 4:
Material: Cr2Tc
Method: DFT, PBEsol
State: optimized geometry

Properties
The formation energy comes out at 6 kJ per mole of atoms. The calculation puts the density of states at the Fermi level at 31.3 states/eV/cell. The spin magnetization is 0.00 μB/f.u. As for the relative energy among the computed polymorphs: 19 meV per atom. The calculation puts the density at 9.2 g/cm3.

Cell: 4.6903 4.6903 15.2982 Å, 90.00 90.00 120.00°
Closest atoms and distances in Å follow each position.
Space group P6_3/mmc (No. 194)
Symmetry-distinct sites (fractional):
Cr: 0.0000 0.5000 0.0000 [6 per cell]  6 Cr 2.31-2.35
Cr: 0.1634 0.3267 0.2500 [6 per cell]  6 Cr 2.30-2.39
Cr: 0.3333 0.6667 0.1227 [4 per cell]  6 Cr 2.31-2.39
Tc: 0.0000 0.0000 0.0956 [4 per cell]  12 Cr 2.71-2.76, 4 Tc 2.86-2.92
Tc: 0.3333 0.6667 0.6563 [4 per cell]  12 Cr 2.75-2.76, 4 Tc 2.86-2.87

---

Entry 5:
Material: Li2Co4O7F
Method: DFT, PBEsol
State: optimized geometry

Properties
The calculation puts the density of states at the Fermi level at 13.9 states/eV/cell. The spin magnetization is 5.08 μB/f.u. The formation energy without anion corrections is -1.3525 eV per atom. The calculation puts the density at 5.0 g/cm3.

Cell: 9.7276 5.6323 5.6127 Å, 90.00 124.63 90.00°
Closest atoms and distances in Å follow each position.
Space group Cm (No. 8)
Symmetry-distinct sites (fractional):
Li: 0.0000 0.0000 0.0000 [2 per cell]  1 F 1.86, 3 O 1.88-1.95
Li: 0.1151 0.5000 0.8709 [2 per cell]  1 F 1.98, 5 O 1.98-2.02
Co: 0.1175 0.5000 0.3613 [2 per cell]  6 O 1.82-1.94
Co: 0.2322 0.0000 0.7333 [2 per cell]  4 O 1.84-1.92
Co: 0.3640 0.2456 0.3747 [4 per cell]  5 O 1.81-1.93, 1 F 1.98
O: 0.0977 0.2640 0.5842 [4 per cell]  3 Co 1.84-1.91, 1 Li 2.02
O: 0.1383 0.2685 0.1583 [4 per cell]  2 Co 1.81-1.82, 2 Li 1.88-1.98
O: 0.3516 0.5000 0.5777 [2 per cell]  3 Co 1.88, 1 Li 1.95
O: 0.3658 0.0000 0.5921 [2 per cell]  3 Co 1.84-1.87, 1 Li 2.00
O: 0.3764 0.0000 0.1484 [2 per cell]  4 Co 1.92-1.94
F: 0.3624 0.5000 0.1305 [2 per cell]  2 Li 1.86-1.98, 2 Co 1.98

---

Entry 6:
Material: Hg2Se
Method: DFT, PBEsol
State: optimized geometry

Properties
The calculation puts the density of states at the Fermi level at 1.7 states/eV/cell. The spin magnetization is 0.00 μB/f.u. As for the relative energy among the computed polymorphs: 161 meV per atom. The formation energy without anion corrections is 0.0992 eV per atom. The calculation puts the density at 10.3 g/cm3.

Cell: 5.1040 5.1040 5.9510 Å, 90.00 90.00 90.00°
Closest atoms and distances in Å follow each position.
Space group P4/nmm (No. 129, origin choice 2)
Symmetry-distinct sites (fractional):
Hg: 0.2500 0.2500 0.1737 [2 per cell]  1 Se 2.72
Hg: 0.2500 0.7500 0.5000 [2 per cell]  4 Se 2.86
Se: 0.2500 0.2500 0.7170 [2 per cell]  5 Hg 2.72-2.86

---

Entry 7:
Material: CaZrF2
Method: DFT, PBEsol
State: optimized geometry

Properties
The calculation puts the density of states at the Fermi level at 8.1 states/eV/cell. The spin magnetization is 1.47 μB/f.u. As for the relative energy among the computed polymorphs: 0 meV per atom. The formation energy without anion corrections is -2.4220 eV per atom. The calculation puts the density at 4.1 g/cm3.

Cell: 3.6071 3.6071 18.4440 Å, 90.00 90.00 120.00°
Closest atoms and distances in Å follow each position.
Space group R-3m (No. 166, hexagonal axes)
Symmetry-distinct sites (fractional):
Ca: 0.0000 0.0000 0.0000 [3 per cell]  6 F 2.25
Zr: 0.0000 0.0000 0.5000 [3 per cell]  2 F 2.21
F: 0.0000 0.0000 0.3801 [6 per cell]  1 Zr 2.21, 3 Ca 2.25

---

Entry 8:
Material: Cu2RuSe
Method: DFT, PBEsol
State: optimized geometry

Properties
The calculation puts the density of states at the Fermi level at 9.6 states/eV/cell. The spin magnetization is 0.00 μB/f.u. The formation energy without anion corrections is 0.3442 eV per atom. The calculation puts the density at 9.6 g/cm3.

Cell: 3.5376 3.5376 8.4748 Å, 90.00 90.00 90.00°
Closest atoms and distances in Å follow each position.
Space group I4/mmm (No. 139)
Symmetry-distinct sites (fractional):
Cu: 0.0000 0.5000 0.2500 [4 per cell]  4 Cu 2.50, 4 Se 2.76, 4 Ru 2.76
Ru: 0.0000 0.0000 0.0000 [2 per cell]  4 Se 2.50, 8 Cu 2.76
Se: 0.0000 0.0000 0.5000 [2 per cell]  4 Ru 2.50, 8 Cu 2.76

---

Entry 9:
Material: SbTe2PS
Method: DFT, PBEsol
State: optimized geometry

Properties
The calculation puts the density of states at the Fermi level at 5.1 states/eV/cell. The spin magnetization is 0.00 μB/f.u. The formation energy without anion corrections is 0.8808 eV per atom. The calculation puts the density at 5.4 g/cm3.

Cell: 5.1595 5.1595 5.0504 Å, 90.00 90.00 90.00°
Closest atoms and distances in Å follow each position.
Space group P4/mmm (No. 123)
Symmetry-distinct sites (fractional):
Sb: 0.0000 0.0000 0.0000 [1 per cell]  2 S 2.53
Te: 0.0000 0.5000 0.5000 [2 per cell]  2 S 2.58
P: 0.5000 0.5000 0.0000 [1 per cell]  8 Te 3.61, 4 Sb 3.65
S: 0.0000 0.0000 0.5000 [1 per cell]  2 Sb 2.53, 4 Te 2.58

---

Entry 10:
Material: Cs2CeCuCl6
Method: DFT, PBEsol
State: optimized geometry

Properties
The calculation puts the density of states at the Fermi level at 34.8 states/eV/cell. The spin magnetization is 1.00 μB/f.u. The formation energy without anion corrections is -1.7331 eV per atom. The calculation puts the density at 4.0 g/cm3.

Cell: 10.4218 10.4218 10.4218 Å, 90.00 90.00 90.00°
Closest atoms and distances in Å follow each position.
Space group Fm-3m (No. 225)
Symmetry-distinct sites (fractional):
Cs: 0.2500 0.2500 0.2500 [8 per cell]  12 Cl 3.69
Ce: 0.0000 0.0000 0.0000 [4 per cell]  6 Cl 2.72
Cu: 0.0000 0.0000 0.5000 [4 per cell]  6 Cl 2.49
Cl: 0.0000 0.0000 0.2608 [24 per cell]  1 Cu 2.49, 1 Ce 2.72